DFT (PBE) results for a geometry-optimized SmEuAlHg structure.

- energy of formation (meV per atom) = -364

a b c (Å): 7.604 7.604 7.604
angles (deg): 90.00 90.00 90.00
Space group F-43m (No. 216)
One atom of each set of equivalent atoms:
Sm 0.000 0.000 0.000 x4
Eu 0.000 0.000 0.500 x4
Al 0.250 0.250 0.250 x4
Hg 0.250 0.250 0.750 x4


DFT (PBE) results for a geometry-optimized SrEuAlHg structure.

- energy of formation (meV per atom) = -329

a b c (Å): 7.845 7.845 7.845
angles (deg): 90.00 90.00 90.00
Space group F-43m (No. 216)
One atom of each set of equivalent atoms:
Sr 0.000 0.000 0.000 x4
Eu 0.000 0.000 0.500 x4
Al 0.250 0.250 0.250 x4
Hg 0.250 0.250 0.750 x4


DFT (PBE) results for a geometry-optimized EuThAlHg structure.

- energy of formation (meV per atom) = -225

a b c (Å): 7.618 7.618 7.618
angles (deg): 90.00 90.00 90.00
Space group F-43m (No. 216)
One atom of each set of equivalent atoms:
Eu 0.000 0.000 0.000 x4
Th 0.000 0.000 0.500 x4
Al 0.250 0.250 0.750 x4
Hg 0.250 0.250 0.250 x4


DFT (PBE) results for a geometry-optimized EuAlTlHg structure.

- energy of formation (meV per atom) = -232

a b c (Å): 7.397 7.397 7.397
angles (deg): 90.00 90.00 90.00
Space group F-43m (No. 216)
One atom of each set of equivalent atoms:
Eu 0.000 0.000 0.000 x4
Al 0.000 0.000 0.500 x4
Tl 0.250 0.250 0.250 x4
Hg 0.250 0.250 0.750 x4


DFT (PBE) results for a geometry-optimized EuHo2Al structure.

- energy of formation (meV per atom) = -150
- E above lowest polymorph (eV per formula unit) = 0.00

a b c (Å): 3.552 3.552 9.309
angles (deg): 90.00 90.00 90.00
Space group P4/mmm (No. 123)
One atom of each set of equivalent atoms:
Eu 0.000 0.000 0.000 x1
Ho 0.500 0.500 0.302 x2
Al 0.000 0.000 0.500 x1


DFT (PBE) results for a geometry-optimized EuHoAl structure.

- energy of formation (meV per atom) = -67
- E above lowest polymorph (eV per formula unit) = 0.29

a b c (Å): 5.2191 5.2191 3.4936
angles (deg): 90.00 90.00 120.00
Space group P3m1 (No. 156)
One atom of each set of equivalent atoms:
Eu 0.0000 0.0000 0.0000 x1
Ho 0.3333 0.6667 0.5920 x1
Al 0.6667 0.3333 0.3451 x1


DFT (PBE) results for a geometry-optimized EuHo2Al structure.

- energy of formation (meV per atom) = -100
- E above lowest polymorph (eV per formula unit) = 0.20

a b c (Å): 4.865 4.865 4.711
angles (deg): 90.00 90.00 90.00
Space group P4/mmm (No. 123)
One atom of each set of equivalent atoms:
Eu 0.000 0.000 0.000 x1
Ho 0.000 0.500 0.500 x2
Al 0.500 0.500 0.000 x1


DFT (PBE) results for a geometry-optimized EuHo2Al structure.

- energy of formation (meV per atom) = -21
- E above lowest polymorph (eV per formula unit) = 0.52

a b c (Å): 7.614 7.614 7.614
angles (deg): 90.00 90.00 90.00
Space group Fm-3m (No. 225)
One atom of each set of equivalent atoms:
Eu 0.000 0.000 0.000 x4
Ho 0.250 0.250 0.250 x8
Al 0.000 0.000 0.500 x4


DFT (PBE) results for a geometry-optimized EuHoAl structure.

- energy of formation (meV per atom) = -164
- E above lowest polymorph (eV per formula unit) = 0.00

a b c (Å): 3.681 3.681 12.851
angles (deg): 90.00 90.00 90.00
Space group I4mm (No. 107)
One atom of each set of equivalent atoms:
Eu 0.000 0.000 0.000 x2
Ho 0.000 0.000 0.281 x2
Al 0.000 0.000 0.656 x2


DFT (PBE) results for a geometry-optimized EuHoAl4 structure.

- energy of formation (meV per atom) = -437

a b c (Å): 7.944 7.944 7.944
angles (deg): 90.00 90.00 90.00
Space group F-43m (No. 216)
One atom of each set of equivalent atoms:
Eu 0.000 0.000 0.000 x4
Ho 0.250 0.250 0.250 x4
Al 0.125 0.125 0.625 x16


DFT (PBE) results for a geometry-optimized EuHoAlIn structure.

- energy of formation (meV per atom) = -343

a b c (Å): 7.522 7.522 7.522
angles (deg): 90.00 90.00 90.00
Space group F-43m (No. 216)
One atom of each set of equivalent atoms:
Eu 0.000 0.000 0.000 x4
Ho 0.000 0.000 0.500 x4
Al 0.250 0.250 0.250 x4
In 0.250 0.250 0.750 x4


DFT (PBE) results for a geometry-optimized LiEuHoAl structure.

- energy of formation (meV per atom) = -116

a b c (Å): 7.466 7.466 7.466
angles (deg): 90.00 90.00 90.00
Space group F-43m (No. 216)
One atom of each set of equivalent atoms:
Li 0.000 0.000 0.000 x4
Eu 0.250 0.250 0.750 x4
Ho 0.250 0.250 0.250 x4
Al 0.000 0.000 0.500 x4